DyThCN | PBE-GGA | relaxed

Output
Symmetry: No. 123
E, eV/atom: -8.344
ΔE_f (raw), eV per formula unit: -3.805
DOS at the Fermi energy, states/eV/f.u.: 1.58

Lattice parameters (Å, degrees): 3.6467 3.6467 5.1055 90.00 90.00 90.00
Atoms (fractional coordinates):
Th 0.0000 0.0000 0.0000
N 0.5000 0.5000 0.0000
Dy 0.5000 0.5000 0.5000
C 0.0000 0.0000 0.5000

=====

Dy2TlC2N6 | PBE-GGA | relaxed

Output
Symmetry: No. 12
E, eV/atom: -7.534
ΔE_f (raw), eV per formula unit: -2.899
DOS at the Fermi energy, states/eV/f.u.: 3.59

Lattice parameters (Å, degrees): 6.0490 6.0334 6.1245 111.81 90.02 59.90
Site moments in Bohr magnetons follow the coordinates.
Atoms (fractional coordinates):
N 0.0742 0.8514 0.6405  0.02
N 0.6101 0.4078 0.1822  0.13
N 0.3899 0.5922 0.8178  0.13
N 0.9258 0.1486 0.3595  0.02
N 0.9825 0.4075 0.1820  0.13
N 0.0175 0.5925 0.8180  0.13
Dy 0.8291 0.3418 0.7945  0.02
Dy 0.1709 0.6582 0.2055  0.02
C 0.1585 0.6826 0.7540  -0.01
C 0.8415 0.3174 0.2460  -0.01
Tl 0.5000 0.0000 0.5000  0.00

=====

DyUCN | PBE-GGA | relaxed

Output
Symmetry: No. 160
E, eV/atom: -9.256
ΔE_f (raw), eV per formula unit: -3.583
DOS at the Fermi energy, states/eV/f.u.: 3.81

Lattice parameters (Å, degrees): 3.5111 3.5111 6.0200 73.05 73.05 60.00
Site moments in Bohr magnetons follow the coordinates.
Atoms (fractional coordinates):
N 0.4350 0.4350 0.6949  -0.01
Dy 0.1928 0.1928 0.4216  0.01
U 0.6944 0.6944 0.9167  0.19
C 0.9542 0.9542 0.1375  -0.01

=====

NaDyC | PBE-GGA | relaxed

Output
Symmetry: No. 166
E, eV/atom: -4.763

Lattice parameters (Å, degrees): 4.3169 4.3169 7.6259 73.56 73.56 60.00
Atoms (fractional coordinates):
Na 0.1355 0.1355 0.5935
Na 0.8645 0.8645 0.4065
C 0.2683 0.2683 0.1950
C 0.7317 0.7317 0.8050
Dy 0.6186 0.6186 0.1441
Dy 0.3814 0.3814 0.8559

=====

NaDy2C | PBE-GGA | relaxed

Output
Symmetry: No. 166
E, eV/atom: -5.056
DOS at the Fermi energy, states/eV/f.u.: 2.54

Lattice parameters (Å, degrees): 3.5503 3.5503 10.1184 79.90 79.90 60.00
Atoms (fractional coordinates):
Dy 0.1215 0.1215 0.6355
Dy 0.8785 0.8785 0.3645
Na 0.0000 0.0000 0.0000
C 0.5000 0.5000 0.5000

=====

NaDyC2O6 | PBE-GGA | relaxed

Output
Symmetry: No. 15
E, eV/atom: -7.531
ΔE_f (raw), eV per formula unit: -21.189
DOS at the Fermi energy, states/eV/f.u.: 0.00

Lattice parameters (Å, degrees): 6.2941 6.2941 6.9677 100.02 100.02 106.30
Atoms (fractional coordinates):
O 0.7475 0.8521 0.3704
O 0.5259 0.3036 0.9076
O 0.9477 0.4774 0.2424
O 0.8521 0.7475 0.8704
O 0.4774 0.9477 0.7424
O 0.3036 0.5259 0.4076
O 0.5226 0.0523 0.2576
O 0.2525 0.1479 0.6296
O 0.6964 0.4741 0.5924
O 0.4741 0.6964 0.0924
O 0.0523 0.5226 0.7576
O 0.1479 0.2525 0.1296
Na 0.9001 0.0999 0.7500
Na 0.0999 0.9001 0.2500
C 0.1250 0.4141 0.2576
C 0.5859 0.8750 0.2424
C 0.4141 0.1250 0.7576
C 0.8750 0.5859 0.7424
Dy 0.4207 0.5793 0.7500
Dy 0.5793 0.4207 0.2500